1.
A plane-wave DFT calculation with PBE was carried out for a relaxed La3BN3 crystal.

a = 5.426 Å, b = 7.033 Å, c = 7.033 Å
α = 120.00°, β = 90.00°, γ = 90.00°
Element x y z (fractional)
N 0.750 0.561 0.875
N 0.250 0.686 0.561
N 0.750 0.314 0.439
N 0.750 0.125 0.686
N 0.250 0.875 0.314
N 0.250 0.439 0.125
La 0.250 0.090 0.735
La 0.250 0.265 0.355
La 0.750 0.735 0.645
La 0.250 0.645 0.910
La 0.750 0.910 0.265
La 0.750 0.355 0.090
B 0.250 0.667 0.333
B 0.750 0.333 0.667

Summary:
raw formation energy	-1.094	eV per atom
volume	116.2	Å³/f.u.


2.
A plane-wave DFT calculation with PBE was carried out for a relaxed RbLa2WSe crystal.

a = 5.701 Å, b = 4.747 Å, c = 5.701 Å
α = 90.00°, β = 90.00°, γ = 90.00°
Element x y z (fractional)
Se 0.500 0.500 0.500
Rb 0.000 0.000 0.000
La 0.500 0.000 0.000
La 0.000 0.000 0.500
W 0.000 0.500 0.000

Summary:
raw formation energy	1.676	eV per atom
volume	154.3	Å³/f.u.


3.
A plane-wave DFT calculation with PBE was carried out for a relaxed CsErMnTe4 crystal.

a = 6.961 Å, b = 7.268 Å, c = 10.708 Å
α = 90.00°, β = 110.03°, γ = 90.00°
Site moments in Bohr magnetons follow the coordinates.
Element x y z (fractional)
Te 0.421 0.750 0.176  -0.05
Te 0.427 0.750 0.580  -0.08
Te 0.965 0.010 0.300  -0.10
Te 0.573 0.250 0.420  -0.08
Te 0.035 0.510 0.700  -0.10
Te 0.579 0.250 0.824  -0.05
Te 0.965 0.490 0.300  -0.10
Te 0.035 0.990 0.700  -0.10
Mn 0.773 0.250 0.664  3.13
Mn 0.227 0.750 0.336  3.13
Cs 0.236 0.250 0.054  0.00
Cs 0.764 0.750 0.946  0.00
Er 0.229 0.250 0.546  0.05
Er 0.771 0.750 0.454  0.05

Summary:
raw formation energy	-0.742	eV per atom
volume	254.5	Å³/f.u.


4.
A plane-wave DFT calculation with PBE was carried out for a relaxed Y2Be2Nb crystal.

a = 7.680 Å, b = 7.680 Å, c = 3.329 Å
α = 90.00°, β = 90.00°, γ = 90.00°
Element x y z (fractional)
Y 0.187 0.687 0.500
Y 0.313 0.187 0.500
Y 0.813 0.313 0.500
Y 0.687 0.813 0.500
Be 0.396 0.896 0.000
Be 0.896 0.604 0.000
Be 0.104 0.396 0.000
Be 0.604 0.104 0.000
Nb 0.500 0.500 0.000
Nb 0.000 0.000 0.000

Summary:
volume	98.2	Å³/f.u.
E_form	304	meV per atom


5.
A plane-wave DFT calculation with PBE was carried out for a relaxed Mg6Ga2Au crystal.

a = 3.460 Å, b = 7.777 Å, c = 7.776 Å
α = 120.00°, β = 90.00°, γ = 90.00°
Element x y z (fractional)
Mg 0.500 0.000 0.618
Mg 0.500 0.382 0.382
Mg 0.000 0.000 0.274
Mg 0.500 0.618 0.000
Mg 0.000 0.274 0.000
Mg 0.000 0.726 0.726
Ga 0.000 0.333 0.667
Ga 0.000 0.667 0.333
Au 0.500 0.000 0.000

Summary:
volume	181.2	Å³/f.u.
excess energy over the best structure of this formula in the dataset	0.0	meV/atom
E_form	-270	meV per atom